(1)
# Cd2CoCl

Cd2CoCl after structural relaxation (PBEsol, the Alexandria database).

Cell: 4.6306 4.6306 4.6306 Å, 60.00 60.00 60.00°
Fractional coordinates of all 4 atoms:
Cd 0.0000 0.0000 0.0000
Cd 0.2500 0.2500 0.2500
Co 0.5000 0.5000 0.5000
Cl 0.7500 0.7500 0.7500

Crystal system: cubic
Theoretical density in Mg/m³: 7.5
Energy in Ry per atom: -0.1835
Formation energy from raw total energies in eV per formula unit: 2.15
Relative energy among the computed polymorphs in eV/f.u.: 2.103



(2)
# CdCoP2Cl

CdCoP2Cl after structural relaxation (PBEsol, the Alexandria database).

Cell: 4.2354 4.2354 5.1020 Å, 90.00 90.00 90.00°
Fractional coordinates of all 5 atoms:
Cd 0.0000 0.0000 0.0000
Co 0.5000 0.5000 0.5000
P 0.0000 0.5000 0.5000
P 0.5000 0.0000 0.5000
Cl 0.5000 0.5000 0.0000

Crystal system: tetragonal
Theoretical density in Mg/m³: 4.9
Energy in Ry per atom: -0.3134
Formation energy from raw total energies in eV per formula unit: 1.20



- theoretical density of number 2 (CdCoP2Cl)?
  4.9 Mg/m³